Entry 1:
A geometry-optimized Y2PaIn9 structure. Source: the Alexandria database, functional PBE.

- E (eV/atom) = -4.25
- calculated volume (Å³/cell) = 300

Lattice parameters (Å, degrees): 4.6349 4.6349 13.9452 90.00 90.00 90.00
Closest atoms and distances in Å follow each position.
Atoms (fractional coordinates):
Y: 0.0000 0.0000 0.1668  12 In 3.28
Y: 0.0000 0.0000 0.8332  12 In 3.28
Pa: 0.0000 0.0000 0.5000  12 In 3.28
In: 0.0000 0.5000 0.0000  8 In 3.28-3.29, 4 Y 3.28
In: 0.0000 0.5000 0.3335  8 In 3.28, 2 Pa 3.28, 2 Y 3.28
In: 0.0000 0.5000 0.6665  8 In 3.28, 2 Pa 3.28, 2 Y 3.28
In: 0.5000 0.0000 0.0000  8 In 3.28-3.29, 4 Y 3.28
In: 0.5000 0.0000 0.3335  8 In 3.28, 2 Pa 3.28, 2 Y 3.28
In: 0.5000 0.0000 0.6665  8 In 3.28, 2 Pa 3.28, 2 Y 3.28
In: 0.5000 0.5000 0.1671  4 Y 3.28, 8 In 3.28-3.29
In: 0.5000 0.5000 0.5000  4 Pa 3.28, 8 In 3.28
In: 0.5000 0.5000 0.8329  4 Y 3.28, 8 In 3.28-3.29

Entry 2:
A geometry-optimized KY2Ag structure. Source: the Alexandria database, functional PBE.

- E (eV/atom) = -4.01
- calculated volume (Å³/cell) = 141

Lattice parameters (Å, degrees): 11.7341 11.7341 11.7341 18.42 18.42 18.42
Closest atoms and distances in Å follow each position.
Atoms (fractional coordinates):
K: 0.0000 0.0000 0.0000  6 K 3.76
Y: 0.2279 0.2279 0.2279  3 Ag 3.03
Y: 0.7721 0.7721 0.7721  3 Ag 3.03
Ag: 0.5000 0.5000 0.5000  6 Y 3.03

Entry 3:
A geometry-optimized CsRb3Mn structure. Source: the Alexandria database, functional PBE.

- E (eV/atom) = -1.56
- calculated volume (Å³/cell) = 428

Lattice parameters (Å, degrees): 7.5364 7.5364 7.5364 90.00 90.00 90.00
Closest atoms and distances in Å follow each position.
Atoms (fractional coordinates):
Cs: 0.0000 0.0000 0.0000  6 Rb 3.77
Rb: 0.0000 0.0000 0.5000  2 Cs 3.77
Rb: 0.0000 0.5000 0.0000  2 Cs 3.77
Rb: 0.5000 0.0000 0.0000  2 Cs 3.77
Mn: 0.5000 0.5000 0.5000  12 Rb 5.33

Entry 4:
A geometry-optimized Sc3Mn5 structure. Source: the Alexandria database, functional PBE.

- offset from the most stable computed form (meV per atom) = 0
- E (eV/atom) = -7.98
- calculated volume (Å³/cell) = 258

Lattice parameters (Å, degrees): 5.3538 7.0491 7.0502 79.26 83.14 83.38
Closest atoms and distances in Å follow each position.
Atoms (fractional coordinates):
Sc: 0.2018 0.0791 0.1153  9 Mn 2.75-2.92
Sc: 0.2020 0.6158 0.5795  9 Mn 2.74-2.93
Sc: 0.2512 0.0685 0.5684  4 Mn 2.71-2.77, 1 Sc 2.85
Sc: 0.7488 0.9315 0.4316  4 Mn 2.71-2.77, 1 Sc 2.85
Sc: 0.7980 0.3842 0.4205  9 Mn 2.74-2.93
Sc: 0.7982 0.9209 0.8847  9 Mn 2.75-2.92
Mn: 0.0266 0.7014 0.2016  5 Mn 2.45-2.68, 1 Sc 2.71
Mn: 0.2456 0.4865 0.9862  4 Mn 2.25-2.47
Mn: 0.3294 0.3893 0.2980  2 Mn 2.26-2.52
Mn: 0.3289 0.7974 0.8897  2 Mn 2.25-2.52
Mn: 0.4969 0.2754 0.7757  4 Mn 2.47-2.60
Mn: 0.5031 0.7246 0.2243  4 Mn 2.47-2.60
Mn: 0.6711 0.2026 0.1103  2 Mn 2.25-2.52
Mn: 0.6706 0.6107 0.7020  2 Mn 2.26-2.52
Mn: 0.7544 0.5135 0.0138  4 Mn 2.25-2.47
Mn: 0.9734 0.2986 0.7984  5 Mn 2.45-2.68, 1 Sc 2.71

Entry 5:
A geometry-optimized ScCuSbTe2 structure. Source: the Alexandria database, functional PBE.

- offset from the most stable computed form (meV per atom) = 194
- E (eV/atom) = -3.83
- calculated volume (Å³/cell) = 166

Lattice parameters (Å, degrees): 5.4879 5.4879 5.5011 90.00 90.00 90.00
Closest atoms and distances in Å follow each position.
Atoms (fractional coordinates):
Sc: 0.0000 0.0000 0.0000  4 Te 2.74, 2 Sb 2.75
Cu: 0.5000 0.5000 0.5000  4 Sb 3.88, 8 Te 3.89
Sb: 0.0000 0.0000 0.5000  2 Sc 2.75
Te: 0.0000 0.5000 0.0000  2 Sc 2.74
Te: 0.5000 0.0000 0.0000  2 Sc 2.74

Entry 6:
A geometry-optimized BeTcHg3 structure. Source: the Alexandria database, functional PBE.

- offset from the most stable computed form (meV per atom) = 338
- E (eV/atom) = -1.74
- calculated volume (Å³/cell) = 156

Lattice parameters (Å, degrees): 5.3805 5.3805 5.3805 90.00 90.00 90.00
Closest atoms and distances in Å follow each position.
Atoms (fractional coordinates):
Be: 0.0000 0.0000 0.0000  12 Hg 3.80
Tc: 0.5000 0.5000 0.5000  6 Hg 2.69
Hg: 0.0000 0.5000 0.5000  2 Tc 2.69
Hg: 0.5000 0.0000 0.5000  2 Tc 2.69
Hg: 0.5000 0.5000 0.0000  2 Tc 2.69